[1]
First-principles (SCAN) data for a PBEsol-optimized structure of In4Tc, as listed in the Alexandria database.

SG ... Im-3m (229)
Total magnetization ... 0.00 μB/cell
Formation enthalpy at 0 K ... -79 meV/atom

Cell lengths 5.3762, 5.3762, 5.3762 Å; angles 109.47, 109.47, 109.47 degrees
With the nearest neighbours (Å) after each atom.
Fractional coordinates of all 5 atoms:
In  0.0000  0.5000  0.0000  2 Tc 2.69
In  0.5000  0.0000  0.0000  2 Tc 2.69
In  0.0000  0.0000  0.5000  2 Tc 2.69
In  0.5000  0.5000  0.5000  2 Tc 2.69
Tc  0.0000  0.0000  0.0000  8 In 2.69

=====

[2]
First-principles (SCAN) data for a PBEsol-optimized structure of FePt2Au, as listed in the Alexandria database.

SG ... Fm-3m (225)
Total magnetization ... 3.95 μB/cell
E above lowest polymorph ... 159 meV/atom
Formation enthalpy at 0 K ... -75 meV/atom

Cell lengths 4.3920, 4.3920, 4.3920 Å; angles 60.00, 60.00, 60.00 degrees
With the nearest neighbours (Å) after each atom.
Fractional coordinates of all 4 atoms:
Fe  0.5000  0.5000  0.5000  8 Pt 2.69
Pt  0.2500  0.2500  0.2500  4 Fe 2.69, 4 Au 2.69
Pt  0.7500  0.7500  0.7500  4 Fe 2.69, 4 Au 2.69
Au  0.0000  0.0000  0.0000  8 Pt 2.69

=====

[3]
First-principles (SCAN) data for a PBEsol-optimized structure of TlCuTe2, as listed in the Alexandria database.

SG ... P2/m (10)
Total magnetization ... 0.00 μB/cell

Cell lengths 3.9455, 4.7674, 6.4940 Å; angles 93.90, 90.00, 90.00 degrees
With the nearest neighbours (Å) after each atom.
Fractional coordinates of all 4 atoms:
Te  0.0000  0.5261  0.7559  2 Cu 2.54
Te  0.0000  0.4739  0.2441  2 Cu 2.54
Tl  0.5000  0.0000  0.5000  8 Te 3.50-3.52, 2 Cu 3.90
Cu  0.5000  0.5000  0.0000  4 Te 2.54

=====

[4]
First-principles (SCAN) data for a PBEsol-optimized structure of IrSe2, as listed in the Alexandria database.

SG ... Cmcm (63)
Total magnetization ... 0.00 μB/cell

Cell lengths 3.7583, 4.9354, 6.5274 Å; angles 90.03, 106.73, 90.00 degrees
With the nearest neighbours (Å) after each atom.
Fractional coordinates of all 6 atoms:
Ir  0.8380  0.7501  0.6760  6 Se 2.46-2.53
Ir  0.1620  0.2499  0.3240  6 Se 2.46-2.53
Se  0.7929  0.2501  0.5859  4 Ir 2.49-2.53
Se  0.2071  0.7499  0.4141  4 Ir 2.49-2.53
Se  0.4650  0.7502  0.9301  2 Ir 2.46, 2 Se 2.62
Se  0.5350  0.2498  0.0699  2 Ir 2.46, 2 Se 2.62

=====

[5]
First-principles (SCAN) data for a PBEsol-optimized structure of ScIr2, as listed in the Alexandria database.

SG ... P4/mmm (123)
Total magnetization ... 0.00 μB/cell
Formation enthalpy at 0 K ... -296 meV/atom

Cell lengths 3.6467, 3.6467, 4.1578 Å; angles 90.00, 90.00, 90.00 degrees
With the nearest neighbours (Å) after each atom.
Fractional coordinates of all 3 atoms:
Sc  0.0000  0.0000  0.0000  8 Ir 2.77
Ir  0.0000  0.5000  0.5000  4 Ir 2.58, 4 Sc 2.77
Ir  0.5000  0.0000  0.5000  4 Ir 2.58, 4 Sc 2.77

=====

[6]
First-principles (SCAN) data for a PBEsol-optimized structure of Li2LaCo, as listed in the Alexandria database.

SG ... Fm-3m (225)
Total magnetization ... 0.00 μB/cell
E above lowest polymorph ... 195 meV/atom
Formation enthalpy at 0 K ... 455 meV/atom

Cell lengths 4.5545, 4.5545, 4.5545 Å; angles 60.00, 60.00, 60.00 degrees
With the nearest neighbours (Å) after each atom.
Fractional coordinates of all 4 atoms:
La  0.5000  0.5000  0.5000  8 Li 2.79
Li  0.7500  0.7500  0.7500  4 La 2.79, 4 Co 2.79
Li  0.2500  0.2500  0.2500  4 La 2.79, 4 Co 2.79
Co  0.0000  0.0000  0.0000  8 Li 2.79

=====

no.,DFT total energy (eV per atom)
1,-33.800
2,-56.993
3,-40.607
4,-37.387
5,-52.441
6,-15.842